The following is a SCAN calculation of a crystal of SrCdW relaxed with PBEsol, from Alexandria.

Computed properties:
**ΔH_f (0 K)**: 1.4453 eV/atom
**Symmetry**: F-43m, No. 216
**D(E_F)**: 1.83 states/eV/cell
**Crystal system**: cubic

abc: 4.939 4.939 4.939
angles: 60.00 60.00 60.00
Last column: magnetic moment on the atom in μB.
Element x y z (fractional)
Cd 0.250 0.250 0.250  -0.01
Sr 0.000 0.000 0.000  0.04
W 0.500 0.500 0.500  2.51